19
Lattice="5.615 3.242 5.906 -5.615 3.242 5.906 0.000 -6.484 5.906" Properties=species:S:1:pos:R:3 comment="Pr6Y12Ho (PBE, relaxed)" sg="R-3m, No. 166" magmom_total_mub_per_cell=0.0 dft_energy_ev_per_atom=-5.714 crystal_system=trigonal dos_ef_per_ev_cell=30.895 pbc="T T T"
Pr 0.000 -2.561 7.095
Pr -2.218 1.281 7.095
Pr -2.218 -1.281 10.624
Pr 2.218 1.281 7.095
Pr 2.218 -1.281 10.624
Pr 0.000 2.561 10.624
Y 0.000 -4.417 4.281
Y -3.825 2.209 4.281
Y -1.952 -1.127 4.376
Y -3.825 -2.209 13.438
Y 1.952 -1.127 4.376
Y 0.000 2.254 4.376
Y 0.000 -2.254 13.343
Y -1.952 1.127 13.343
Y 3.825 2.209 4.281
Y 1.952 1.127 13.343
Y 3.825 -2.209 13.438
Y 0.000 4.417 13.438
Ho 0.000 0.000 8.859

***

12
Lattice="5.080 0.000 0.000 0.000 5.080 0.000 0.000 0.000 15.238" Properties=species:S:1:pos:R:3 comment="Pr2Y9Ho (PBE, relaxed)" sg="P4/mmm, No. 123" magmom_total_mub_per_cell=0.0 dft_energy_ev_per_atom=-6.002 crystal_system=tetragonal dos_ef_per_ev_cell=18.412 pbc="T T T"
Pr 0.000 0.000 2.551
Pr 0.000 0.000 12.687
Y 0.000 2.540 0.000
Y 0.000 2.540 5.121
Y 0.000 2.540 10.117
Y 2.540 0.000 0.000
Y 2.540 0.000 5.121
Y 2.540 0.000 10.117
Y 2.540 2.540 2.566
Y 2.540 2.540 7.619
Y 2.540 2.540 12.672
Ho 0.000 0.000 7.619

***

20
Lattice="5.382 -7.414 0.000 5.382 7.414 0.000 -5.380 0.000 8.660" Properties=species:S:1:pos:R:3 comment="Pr5Y2Ho3 (PBE, relaxed)" sg="C2/c, No. 15" magmom_total_mub_per_cell=0.0 dft_energy_ev_per_atom=-4.885 crystal_system=monoclinic dos_ef_per_ev_cell=34.443 pbc="T T T"
Pr 1.347 7.124 6.495
Pr -1.332 1.793 6.507
Pr 1.347 3.994 6.495
Pr 4.037 3.405 2.165
Pr 1.357 -1.793 2.177
Pr 4.026 1.793 6.484
Pr 1.347 -3.405 6.495
Pr 4.037 -3.994 2.165
Pr 6.716 -1.793 2.154
Pr 4.037 -7.124 2.165
Y 1.351 1.801 3.818
Y -1.339 -1.801 8.148
Y 6.722 1.801 0.512
Y 4.032 -1.801 4.842
Ho 1.358 1.845 0.514
Ho -1.332 -1.845 4.844
Ho 4.037 0.310 2.165
Ho 1.347 -0.310 6.495
Ho 6.715 1.845 3.816
Ho 4.025 -1.845 8.146

***

16
Lattice="7.158 0.000 0.000 0.000 7.158 0.000 0.000 0.000 10.093" Properties=species:S:1:pos:R:3 comment="PrY14Ho (PBE, relaxed)" sg="P4/mmm, No. 123" magmom_total_mub_per_cell=0.0 dft_energy_ev_per_atom=-6.220 crystal_system=tetragonal dos_ef_per_ev_cell=21.543 pbc="T T T"
Pr 0.000 0.000 0.000
Y 0.000 0.000 5.047
Y 0.000 3.579 0.000
Y 0.000 3.579 5.047
Y 1.796 1.796 2.527
Y 1.796 1.796 7.567
Y 1.796 5.362 2.527
Y 1.796 5.362 7.567
Y 3.579 0.000 0.000
Y 3.579 0.000 5.047
Y 3.579 3.579 5.047
Y 5.362 1.796 2.527
Y 5.362 1.796 7.567
Y 5.362 5.362 2.527
Y 5.362 5.362 7.567
Ho 3.579 3.579 0.000

***

20
Lattice="5.378 -7.977 0.000 5.378 7.977 0.000 -5.355 0.000 7.828" Properties=species:S:1:pos:R:3 comment="Pr3Y2Ho5 (PBE, relaxed)" sg="C2/c, No. 15" magmom_total_mub_per_cell=0.0 dft_energy_ev_per_atom=-4.823 crystal_system=monoclinic dos_ef_per_ev_cell=35.052 pbc="T T T"
Pr 1.320 1.978 0.366
Pr 1.361 4.259 5.871
Pr -1.358 -1.978 4.280
Pr 6.757 1.978 3.549
Pr 4.039 -4.259 1.957
Pr 4.080 -1.978 7.463
Y 1.334 1.870 3.549
Y -1.344 -1.870 7.463
Y 6.743 1.870 0.365
Y 4.065 -1.870 4.280
Ho 1.361 7.572 5.871
Ho -1.322 1.803 5.998
Ho 4.039 3.652 1.957
Ho 1.356 -1.803 2.083
Ho 4.039 0.472 1.957
Ho 1.361 -0.472 5.871
Ho 4.044 1.803 5.745
Ho 1.361 -3.652 5.871
Ho 6.721 -1.803 1.831
Ho 4.039 -7.572 1.957

***

22
Lattice="9.725 -3.618 0.000 9.725 3.618 0.000 -5.680 0.000 11.399" Properties=species:S:1:pos:R:3 comment="Pr7YHo3 (PBE, relaxed)" sg="C2/c, No. 15" magmom_total_mub_per_cell=0.0 dft_energy_ev_per_atom=-4.694 crystal_system=monoclinic dos_ef_per_ev_cell=33.750 pbc="T T T"
Pr 3.777 1.826 5.372
Pr 0.952 1.835 11.107
Pr 5.465 2.094 8.549
Pr 5.374 0.045 2.600
Pr 2.534 -0.045 8.299
Pr 9.979 1.835 5.991
Pr 12.834 1.826 0.327
Pr 0.937 -1.826 11.072
Pr 3.792 -1.835 5.408
Pr 11.237 0.045 3.099
Pr 8.397 -0.045 8.799
Pr 8.305 -2.094 2.850
Pr 12.819 -1.835 0.292
Pr 9.993 -1.826 6.026
Y 0.000 0.000 0.000
Y -2.840 0.000 5.699
Ho 1.777 0.029 3.124
Ho -1.063 -0.029 8.823
Ho 9.725 0.000 0.000
Ho 6.885 0.000 5.699
Ho 14.833 0.029 2.575
Ho 11.993 -0.029 8.275